VASP calculation (PBE) on NaScTi after structural relaxation.

Cell and atoms, written as POSCAR:
```
NaScTi
1.0
-0.790 -5.440 6.684
2.819 -3.343 -3.132
2.624 1.469 0.791
Sc Ti Na
2 2 2
Cartesian
3.219 -5.489 3.706 Sc
0.499 -4.558 4.882 Sc
3.341 -0.374 -0.165 Ti
3.431 -2.769 -2.121 Ti
1.988 -4.790 0.284 Na
1.891 -2.387 2.251 Na
```

Values from the calculation:
Space-group type: P1, No. 1
Fermi-level density of states (states/eV/f.u.): 3.4
Calculated formation energy (eV per atom): 0.31

=====

VASP calculation (PBE) on NaScTi after structural relaxation.

Cell and atoms, written as POSCAR:
```
NaScTi
1.0
-0.750 2.187 2.157
-7.492 -11.431 9.105
1.972 0.594 2.400
Na Ti Sc
2 2 2
Cartesian
-4.243 -4.176 6.634 Na
-1.192 -2.254 5.622 Na
-5.583 -9.256 9.010 Ti
-6.185 -9.869 11.738 Ti
-0.168 -0.996 2.392 Sc
-4.107 -6.698 9.250 Sc
```

Values from the calculation:
Space-group type: P1, No. 1
Fermi-level density of states (states/eV/f.u.): 4.1
Calculated formation energy (eV per atom): 0.17

=====

VASP calculation (PBE) on NaScTi after structural relaxation.

Cell and atoms, written as POSCAR:
```
NaScTi
1.0
5.818 0.000 0.010
0.000 3.054 0.000
2.266 0.000 7.670
Ti Sc Na
2 2 2
Cartesian
1.091 0.000 1.633 Ti
2.602 1.527 7.185 Ti
5.504 0.000 7.064 Sc
6.722 1.527 4.450 Sc
4.116 1.527 2.049 Na
3.739 0.000 4.545 Na
```

Values from the calculation:
Space-group type: Pm, No. 6
Fermi-level density of states (states/eV/f.u.): 3.0
Calculated formation energy (eV per atom): 0.46

=====

VASP calculation (PBE) on NaSc2Ti after structural relaxation.

Cell and atoms, written as POSCAR:
```
NaSc2Ti
1.0
-1.124 -3.528 -3.514
-4.874 -1.021 -1.124
-1.929 1.414 -4.510
Na Ti Sc
1 1 2
Cartesian
0.000 0.000 0.000 Na
-3.963 -1.568 -4.574 Ti
-1.982 -0.784 -2.287 Sc
-5.945 -2.351 -6.861 Sc
```

Values from the calculation:
Space-group type: Fm-3m, No. 225
Fermi-level density of states (states/eV/f.u.): 6.1
Calculated formation energy (eV per atom): 0.51

=====

VASP calculation (PBE) on NaScTi after structural relaxation.

Cell and atoms, written as POSCAR:
```
NaScTi
1.0
2.714 -1.567 0.000
0.000 3.134 0.000
0.000 0.000 16.597
Na Sc Ti
2 2 2
Cartesian
0.905 1.567 5.117 Na
1.809 0.000 8.448 Na
1.809 0.000 14.164 Sc
0.000 0.000 11.523 Sc
0.000 0.000 2.233 Ti
0.905 1.567 0.123 Ti
```

Values from the calculation:
Space-group type: P3m1, No. 156
Fermi-level density of states (states/eV/f.u.): 3.7
Calculated formation energy (eV per atom): 0.23

=====

VASP calculation (PBE) on NaScTi after structural relaxation.

Cell and atoms, written as POSCAR:
```
NaScTi
1.0
-1.323 -3.892 -0.918
1.836 -1.515 3.779
-13.153 2.707 7.474
Sc Ti Na
4 4 4
Cartesian
-3.839 -3.183 4.547 Sc
-1.305 -1.623 3.942 Sc
-8.801 0.483 5.788 Sc
-11.335 -1.077 6.393 Sc
-9.558 0.070 8.629 Ti
-8.743 -2.180 7.331 Ti
-3.082 -2.770 1.706 Ti
-3.897 -0.520 3.004 Ti
-5.589 -0.743 6.375 Na
0.069 -1.340 0.749 Na
-12.710 -1.360 9.587 Na
-7.051 -1.957 3.960 Na
```

Values from the calculation:
Space-group type: Pnma, No. 62
Fermi-level density of states (states/eV/f.u.): 2.1
Calculated formation energy (eV per atom): 0.28